This record from Alexandria describes NiSF3 after structural relaxation. The functional is PBE with a Hubbard U.

Summary:
Energy ... -3.2941 eV per atom
DOS(E_F) ... 8.088 states/eV/f.u.

a b c (Å): 3.9995 3.9995 3.9995
angles (deg): 90.00 90.00 90.00
Closest atoms and distances in Å follow each position.
Space group Pm-3m (No. 221)
Symmetry-distinct sites (fractional):
Ni1 0.0000 0.0000 0.0000  6 F 2.00
S1 0.5000 0.5000 0.5000  12 F 2.83
F1 0.0000 0.0000 0.5000  2 Ni 2.00